(a)
Material: AsPb2
Method: DFT, GGA-PBEsol
State: relaxed

Cell lengths 6.4830, 5.1884, 9.4087 Å; angles 90.00, 90.00, 90.00 degrees
Space group Pnma (No. 62)
Inequivalent atoms, fractional coordinates:
As  0.2125  0.2500  0.0967 (multiplicity 4)
Pb  0.0298  0.2500  0.8000 (multiplicity 4)
Pb  0.1734  0.2500  0.4224 (multiplicity 4)

Properties
size of the total moment	0.0	μB per formula unit
volume	316	Å³/cell

(b)
Material: AsPb2
Method: DFT, GGA-PBEsol
State: relaxed

Cell lengths 4.2048, 12.2562, 6.3466 Å; angles 90.00, 90.00, 90.00 degrees
Space group Cmc2_1 (No. 36)
Inequivalent atoms, fractional coordinates:
As  0.0000  0.1366  0.0000 (multiplicity 4)
Pb  0.0000  0.1960  0.4946 (multiplicity 4)
Pb  0.0000  0.4982  0.2441 (multiplicity 4)

Properties
size of the total moment	0.0	μB per formula unit
volume	327	Å³/cell

From most stable to least stable, the computed energies give (b), (a).

(a)
Material: In2Sn2Hg
Method: DFT, GGA-PBEsol
State: relaxed

Cell lengths 7.7888, 7.7888, 4.3981 Å; angles 90.00, 90.00, 90.00 degrees
Space group P4/mbm (No. 127)
Inequivalent atoms, fractional coordinates:
In  0.1632  0.3368  0.0000 (multiplicity 4)
Sn  0.1404  0.6404  0.5000 (multiplicity 4)
Hg  0.0000  0.0000  0.5000 (multiplicity 2)

Properties
size of the total moment	0.0	μB per formula unit
volume	267	Å³/cell

(b)
Material: In2Sn2Hg
Method: DFT, GGA-PBEsol
State: relaxed

Cell lengths 5.0086, 5.0086, 11.5997 Å; angles 90.00, 90.00, 90.00 degrees
Space group I4/mmm (No. 139)
Inequivalent atoms, fractional coordinates:
In  0.0000  0.5000  0.2500 (multiplicity 4)
Sn  0.0000  0.0000  0.1188 (multiplicity 4)
Hg  0.0000  0.0000  0.5000 (multiplicity 2)

Properties
size of the total moment	0.0	μB per formula unit
volume	291	Å³/cell

From most stable to least stable, the computed energies give (a), (b).

(a)
Material: K2CuRu
Method: DFT, GGA-PBEsol
State: relaxed

Cell lengths 3.3306, 3.3306, 9.8557 Å; angles 90.00, 90.00, 90.00 degrees
Space group P4mm (No. 99)
Inequivalent atoms, fractional coordinates:
K  0.0000  0.0000  0.0000 (multiplicity 1)
K  0.5000  0.5000  0.4418 (multiplicity 1)
Cu  0.5000  0.5000  0.7605 (multiplicity 1)
Ru  0.0000  0.0000  0.6899 (multiplicity 1)

Properties
size of the total moment	0.0	μB per formula unit
volume	109	Å³/cell

(b)
Material: K2CuRu
Method: DFT, GGA-PBEsol
State: relaxed

Cell lengths 3.9541, 3.9541, 10.4765 Å; angles 90.00, 90.00, 90.00 degrees
Space group I4/mmm (No. 139)
Inequivalent atoms, fractional coordinates:
K  0.0000  0.5000  0.2500 (multiplicity 4)
Cu  0.0000  0.0000  0.0000 (multiplicity 2)
Ru  0.0000  0.0000  0.5000 (multiplicity 2)

Properties
size of the total moment	0.7	μB per formula unit
volume	164	Å³/cell

From most stable to least stable, the computed energies give (a), (b).

(a)
Material: LaYSi2
Method: DFT, GGA-PBEsol
State: relaxed

Cell lengths 3.5446, 4.8026, 5.9084 Å; angles 90.00, 90.00, 90.00 degrees
Space group Pmmm (No. 47)
Inequivalent atoms, fractional coordinates:
La  0.0000  0.0000  0.0000 (multiplicity 1)
Y  0.5000  0.5000  0.5000 (multiplicity 1)
Si  0.0000  0.0000  0.5000 (multiplicity 1)
Si  0.5000  0.5000  0.0000 (multiplicity 1)

Properties
size of the total moment	0.0	μB per formula unit
volume	101	Å³/cell

(b)
Material: LaYSi2
Method: DFT, GGA-PBEsol
State: relaxed

Cell lengths 6.9938, 6.9938, 6.9938 Å; angles 90.00, 90.00, 90.00 degrees
Space group F-43m (No. 216)
Inequivalent atoms, fractional coordinates:
La  0.0000  0.0000  0.0000 (multiplicity 4)
Y  0.2500  0.2500  0.7500 (multiplicity 4)
Si  0.0000  0.0000  0.5000 (multiplicity 4)
Si  0.2500  0.2500  0.2500 (multiplicity 4)

Properties
size of the total moment	0.0	μB per formula unit
volume	342	Å³/cell

From most stable to least stable, the computed energies give (a), (b).

(a)
Material: Cd2TcMo
Method: DFT, GGA-PBEsol
State: relaxed

Cell lengths 3.3105, 4.2771, 4.7017 Å; angles 90.00, 90.00, 90.00 degrees
Space group Pmmm (No. 47)
Inequivalent atoms, fractional coordinates:
Cd  0.0000  0.0000  0.0000 (multiplicity 1)
Cd  0.5000  0.5000  0.0000 (multiplicity 1)
Tc  0.0000  0.5000  0.5000 (multiplicity 1)
Mo  0.5000  0.0000  0.5000 (multiplicity 1)

Properties
size of the total moment	0.0	μB per formula unit
volume	67	Å³/cell

(b)
Material: Cd2TcMo
Method: DFT, GGA-PBEsol
State: relaxed

Cell lengths 3.1752, 4.7950, 9.0793 Å; angles 90.00, 90.00, 90.00 degrees
Space group Imm2 (No. 44)
Inequivalent atoms, fractional coordinates:
Cd  0.0000  0.0000  0.0000 (multiplicity 2)
Cd  0.0000  0.5000  0.2344 (multiplicity 2)
Tc  0.0000  0.5000  0.7660 (multiplicity 2)
Mo  0.0000  0.0000  0.4642 (multiplicity 2)

Properties
size of the total moment	0.0	μB per formula unit
volume	138	Å³/cell

(c)
Material: Cd2TcMo
Method: DFT, GGA-PBEsol
State: relaxed

Cell lengths 9.1488, 2.7911, 5.2735 Å; angles 90.00, 95.68, 90.00 degrees
Space group Cm (No. 8)
Inequivalent atoms, fractional coordinates:
Cd  0.0000  0.0000  0.0000 (multiplicity 2)
Cd  0.2492  0.0000  0.7717 (multiplicity 2)
Tc  0.2440  0.5000  0.2948 (multiplicity 2)
Mo  0.0011  0.5000  0.4773 (multiplicity 2)

Properties
size of the total moment	0.0	μB per formula unit
volume	134	Å³/cell

From most stable to least stable, the computed energies give (b), (c), (a).

(a)
Material: RhC3
Method: DFT, GGA-PBEsol
State: relaxed

Cell lengths 4.0784, 4.0784, 4.0784 Å; angles 90.00, 90.00, 90.00 degrees
Space group Im-3m (No. 229)
Inequivalent atoms, fractional coordinates:
Rh  0.0000  0.0000  0.0000 (multiplicity 2)
C  0.0000  0.0000  0.5000 (multiplicity 6)

Properties
size of the total moment	0.0	μB per formula unit
volume	68	Å³/cell

(b)
Material: RhC3
Method: DFT, GGA-PBEsol
State: relaxed

Cell lengths 2.5769, 2.5769, 5.5083 Å; angles 90.00, 90.00, 120.00 degrees
Space group P-6m2 (No. 187)
Inequivalent atoms, fractional coordinates:
Rh  0.0000  0.0000  0.0000 (multiplicity 1)
C  0.0000  0.0000  0.5000 (multiplicity 1)
C  0.6667  0.3333  0.3248 (multiplicity 2)

Properties
size of the total moment	0.0	μB per formula unit
volume	32	Å³/cell

From most stable to least stable, the computed energies give (b), (a).

(a)
Material: Be2Ru
Method: DFT, GGA-PBEsol
State: relaxed

Cell lengths 3.1740, 11.8843, 3.1074 Å; angles 90.00, 90.00, 90.00 degrees
Space group Cmcm (No. 63)
Inequivalent atoms, fractional coordinates:
Be  0.0000  0.0706  0.2500 (multiplicity 4)
Be  0.0000  0.2467  0.7500 (multiplicity 4)
Ru  0.0000  0.4025  0.2500 (multiplicity 4)

Properties
size of the total moment	0.0	μB per formula unit
volume	117	Å³/cell

(b)
Material: Be2Ru
Method: DFT, GGA-PBEsol
State: relaxed

Cell lengths 7.4584, 4.0487, 3.9222 Å; angles 90.00, 90.00, 90.00 degrees
Space group Cmcm (No. 63)
Inequivalent atoms, fractional coordinates:
Be  0.1726  0.1707  0.2500 (multiplicity 8)
Ru  0.0000  0.3013  0.7500 (multiplicity 4)

Properties
size of the total moment	0.0	μB per formula unit
volume	118	Å³/cell

From most stable to least stable, the computed energies give (a), (b).

(a)
Material: CdHgO2
Method: DFT, GGA-PBEsol
State: relaxed

Cell lengths 3.4889, 3.4889, 18.7046 Å; angles 90.00, 90.00, 120.00 degrees
Space group R-3m (No. 166, hexagonal axes)
Inequivalent atoms, fractional coordinates:
Cd  0.0000  0.0000  0.0000 (multiplicity 3)
Hg  0.0000  0.0000  0.5000 (multiplicity 3)
O  0.0000  0.0000  0.3937 (multiplicity 6)

Properties
size of the total moment	0.0	μB per formula unit
volume	197	Å³/cell

(b)
Material: CdHgO2
Method: DFT, GGA-PBEsol
State: relaxed

Cell lengths 5.1477, 5.1477, 10.2614 Å; angles 90.00, 90.00, 90.00 degrees
Space group I-42d (No. 122)
Inequivalent atoms, fractional coordinates:
Cd  0.0000  0.0000  0.0000 (multiplicity 4)
Hg  0.0000  0.0000  0.5000 (multiplicity 4)
O  0.2380  0.2500  0.1250 (multiplicity 8)

Properties
size of the total moment	0.0	μB per formula unit
volume	272	Å³/cell

From most stable to least stable, the computed energies give (a), (b).

(a)
Material: V6O7F5
Method: DFT, GGA-PBEsol
State: relaxed

Cell lengths 8.7274, 6.3325, 6.8344 Å; angles 90.00, 90.00, 90.00 degrees
Space group Amm2 (No. 38)
Inequivalent atoms, fractional coordinates:
V  0.0000  0.0000  0.0000 (multiplicity 2)
V  0.1571  0.0000  0.5379 (multiplicity 4)
V  0.3318  0.0000  0.0273 (multiplicity 4)
V  0.5000  0.0000  0.5239 (multiplicity 2)
O  0.0000  0.0000  0.7259 (multiplicity 2)
O  0.1684  0.2030  0.0240 (multiplicity 8)
O  0.5000  0.2011  0.0276 (multiplicity 4)
F  0.0000  0.0000  0.3217 (multiplicity 2)
F  0.3312  0.0000  0.3246 (multiplicity 4)
F  0.3327  0.0000  0.7291 (multiplicity 4)

Properties
size of the total moment	11.0	μB per formula unit
volume	378	Å³/cell

(b)
Material: V6O7F5
Method: DFT, GGA-PBEsol
State: relaxed

Cell lengths 8.8381, 6.4577, 7.1892 Å; angles 90.00, 113.36, 90.00 degrees
Space group Cm (No. 8)
Inequivalent atoms, fractional coordinates:
V  0.0000  0.0000  0.0000 (multiplicity 2)
V  0.0053  0.0000  0.4945 (multiplicity 2)
V  0.1485  0.5000  0.1877 (multiplicity 2)
V  0.2024  0.5000  0.6767 (multiplicity 2)
V  0.3073  0.0000  0.3151 (multiplicity 2)
V  0.3434  0.0000  0.8336 (multiplicity 2)
O  0.1595  0.2039  0.1685 (multiplicity 4)
O  0.2363  0.0000  0.5391 (multiplicity 2)
O  0.2761  0.5000  0.4690 (multiplicity 2)
O  0.3434  0.2963  0.8356 (multiplicity 4)
O  0.4288  0.0000  0.1427 (multiplicity 2)
F  0.0048  0.3093  0.5044 (multiplicity 4)
F  0.0783  0.5000  0.8686 (multiplicity 2)
F  0.1062  0.0000  0.8013 (multiplicity 2)
F  0.3924  0.5000  0.1938 (multiplicity 2)

Properties
size of the total moment	11.0	μB per formula unit
volume	377	Å³/cell

From most stable to least stable, the computed energies give (b), (a).

(a)
Material: MgAsS2
Method: DFT, GGA-PBEsol
State: relaxed

Cell lengths 5.2066, 5.2066, 13.5459 Å; angles 90.00, 90.00, 90.00 degrees
Space group I-42d (No. 122)
Inequivalent atoms, fractional coordinates:
Mg  0.0000  0.0000  0.0000 (multiplicity 4)
As  0.0000  0.0000  0.5000 (multiplicity 4)
S  0.2478  0.2500  0.6250 (multiplicity 8)

Properties
size of the total moment	0.0	μB per formula unit
volume	367	Å³/cell

(b)
Material: MgAsS2
Method: DFT, GGA-PBEsol
State: relaxed

Cell lengths 3.6761, 3.6761, 23.1841 Å; angles 90.00, 90.00, 120.00 degrees
Space group R-3m (No. 166, hexagonal axes)
Inequivalent atoms, fractional coordinates:
Mg  0.0000  0.0000  0.0000 (multiplicity 3)
As  0.0000  0.0000  0.5000 (multiplicity 3)
S  0.0000  0.0000  0.1060 (multiplicity 6)

Properties
size of the total moment	0.0	μB per formula unit
volume	271	Å³/cell

From most stable to least stable, the computed energies give (a), (b).

(a)
Material: La2RuBr
Method: DFT, GGA-PBEsol
State: relaxed

Cell lengths 4.0924, 4.0924, 23.1889 Å; angles 90.00, 90.00, 120.00 degrees
Space group R-3m (No. 166, hexagonal axes)
Inequivalent atoms, fractional coordinates:
La  0.0000  0.0000  0.2325 (multiplicity 6)
Ru  0.0000  0.0000  0.5000 (multiplicity 3)
Br  0.0000  0.0000  0.0000 (multiplicity 3)

Properties
size of the total moment	0.0	μB per formula unit
volume	336	Å³/cell

(b)
Material: La2RuBr
Method: DFT, GGA-PBEsol
State: relaxed

Cell lengths 3.4321, 3.4321, 8.2259 Å; angles 90.00, 90.00, 90.00 degrees
Space group P4/mmm (No. 123)
Inequivalent atoms, fractional coordinates:
La  0.0000  0.0000  0.2139 (multiplicity 2)
Ru  0.5000  0.5000  0.0000 (multiplicity 1)
Br  0.5000  0.5000  0.5000 (multiplicity 1)

Properties
size of the total moment	0.0	μB per formula unit
volume	97	Å³/cell

From most stable to least stable, the computed energies give (a), (b).

(a)
Material: ZrSc2Cd
Method: DFT, GGA-PBEsol
State: relaxed

Cell lengths 3.1770, 3.1770, 8.7188 Å; angles 90.00, 90.00, 90.00 degrees
Space group P4mm (No. 99)
Inequivalent atoms, fractional coordinates:
Zr  0.0000  0.0000  0.0000 (multiplicity 1)
Sc  0.0000  0.0000  0.4822 (multiplicity 1)
Sc  0.5000  0.5000  0.7541 (multiplicity 1)
Cd  0.5000  0.5000  0.2463 (multiplicity 1)

Properties
size of the total moment	0.1	μB per formula unit
volume	88	Å³/cell

(b)
Material: ZrSc2Cd
Method: DFT, GGA-PBEsol
State: relaxed

Cell lengths 6.5963, 8.3442, 3.1555 Å; angles 90.00, 90.00, 90.00 degrees
Space group Cmmm (No. 65)
Inequivalent atoms, fractional coordinates:
Zr  0.0000  0.0000  0.0000 (multiplicity 2)
Sc  0.2500  0.2500  0.5000 (multiplicity 4)
Cd  0.0000  0.5000  0.0000 (multiplicity 2)

Properties
size of the total moment	0.0	μB per formula unit
volume	174	Å³/cell

From most stable to least stable, the computed energies give (a), (b).

(a)
Material: CdHg2
Method: DFT, GGA-PBEsol
State: relaxed

Cell lengths 8.1076, 8.1076, 3.5812 Å; angles 90.00, 90.00, 120.00 degrees
Space group P-62m (No. 189)
Inequivalent atoms, fractional coordinates:
Cd  0.0000  0.0000  0.0000 (multiplicity 1)
Cd  0.3333  0.6667  0.5000 (multiplicity 2)
Hg  0.0000  0.3787  0.0000 (multiplicity 3)
Hg  0.0000  0.7113  0.5000 (multiplicity 3)

Properties
size of the total moment	0.0	μB per formula unit
volume	204	Å³/cell

(b)
Material: CdHg2
Method: DFT, GGA-PBEsol
State: relaxed

Cell lengths 5.1222, 5.1222, 2.9909 Å; angles 90.00, 90.00, 120.00 degrees
Space group P6/mmm (No. 191)
Inequivalent atoms, fractional coordinates:
Cd  0.0000  0.0000  0.0000 (multiplicity 1)
Hg  0.3333  0.6667  0.5000 (multiplicity 2)

Properties
size of the total moment	0.0	μB per formula unit
volume	68	Å³/cell

From most stable to least stable, the computed energies give (a), (b).